Entry 1:
Rb2MnBiI6: relaxed, PBE.

Lattice parameters (Å, degrees): 8.5728 8.5728 8.5728 120.07 120.07 89.87
Sites, in units of the cell vectors:
Rb: 0.2500 0.7500 0.5000
Rb: 0.7500 0.2500 0.5000
Mn: 0.0000 0.0000 0.0000
Bi: 0.5000 0.5000 0.0000
I: 0.2385 0.2385 0.0000
I: 0.2393 0.2393 0.4786
I: 0.2393 0.7607 0.0000
I: 0.7607 0.2393 0.0000
I: 0.7615 0.7615 0.0000
I: 0.7607 0.7607 0.5214

Output
Formation energy from raw total energies, meV/atom: -743
Crystal system: tetragonal
Final energy, eV per atom: -3.172
Symmetry: I4/mmm (139)
Calculated volume, A^3/atom: 44.50

Entry 2:
BaLiMgAg: relaxed, PBE.

Lattice parameters (Å, degrees): 4.9109 4.9109 6.4621 112.76 112.76 60.12
Sites, in units of the cell vectors:
Ba: 0.0000 0.0000 0.0000
Li: 0.8078 0.8078 0.4217
Mg: 0.5115 0.5115 0.5325
Ag: 0.1962 0.1962 0.5860

Output
Crystal system: monoclinic
Final energy, eV per atom: -2.230
Symmetry: Cm (8)
Calculated volume, A^3/atom: 30.22

Entry 3:
CuReSi2: relaxed, PBE.

Lattice parameters (Å, degrees): 5.4162 5.4162 5.4162 103.66 103.66 121.85
Sites, in units of the cell vectors:
Cu: 0.0000 0.0000 0.0000
Cu: 0.7500 0.2500 0.5000
Re: 0.2500 0.7500 0.5000
Re: 0.5000 0.5000 0.0000
Si: 0.1235 0.6250 0.9985
Si: 0.3750 0.3735 0.4985
Si: 0.6265 0.1250 0.0015
Si: 0.8750 0.8765 0.5015

Output
Formation energy from raw total energies, meV/atom: 583
Crystal system: tetragonal
Final energy, eV per atom: -6.265
Symmetry: I-42d (122)
Calculated volume, A^3/atom: 14.74

| no. | magnetic moment (μB/atom) |
| --- | --- |
| 1 | 0.48 |
| 2 | 0.00 |
| 3 | 0.00 |